VASP calculation (PBE+U) on K2CaMo3F12 after structural relaxation.

**Total magnetization**: 0.444 μB/atom
**Crystal system**: trigonal
**Total energy**: -5.369 eV/atom

a b c (Å): 7.731 7.731 7.731
angles (deg): 58.58 58.58 58.58
Site moments in Bohr magnetons follow the coordinates.
Fractional coordinates of all 18 atoms:
Mo1 0.000 0.500 0.000  2.59
Mo2 0.500 0.000 0.000  2.59
Mo3 0.000 0.000 0.500  2.59
F1 0.659 0.101 0.659  0.01
F2 0.899 0.341 0.341  0.01
F3 0.659 0.659 0.101  0.01
F4 0.101 0.659 0.659  0.01
F5 0.341 0.899 0.341  0.01
F6 0.341 0.341 0.899  0.01
F7 0.906 0.359 0.906  0.01
F8 0.359 0.906 0.906  0.01
F9 0.906 0.906 0.359  0.01
F10 0.094 0.641 0.094  0.01
F11 0.094 0.094 0.641  0.01
F12 0.641 0.094 0.094  0.01
Ca1 0.000 0.000 0.000  -0.01
K1 0.633 0.633 0.633  0.00
K2 0.367 0.367 0.367  0.00